[1]
Pm3Bi5Te12 | Alexandria | GGA-PBE | optimized geometry; raw formation energy = -523.4 meV/atom
1.0
-9.2497 9.2497 9.2497
9.2497 -9.2497 9.2497
9.2497 9.2497 -9.2497
Pm Bi Te
12 20 48
Direct
0.1250 0.2500 0.3750
0.1250 0.3750 0.7500
0.2500 0.3750 0.1250
0.2500 0.8750 0.6250
0.3750 0.1250 0.2500
0.3750 0.7500 0.1250
0.6250 0.2500 0.8750
0.6250 0.8750 0.7500
0.7500 0.1250 0.3750
0.7500 0.6250 0.8750
0.8750 0.6250 0.2500
0.8750 0.7500 0.6250
0.0000 0.0000 0.0000
0.0000 0.0000 0.5000
0.0000 0.5000 0.0000
0.0000 0.5000 0.5000
0.1250 0.7500 0.8750
0.1250 0.8750 0.2500
0.2500 0.1250 0.8750
0.2500 0.6250 0.3750
0.3750 0.2500 0.6250
0.3750 0.6250 0.7500
0.5000 0.0000 0.0000
0.5000 0.0000 0.5000
0.5000 0.5000 0.0000
0.5000 0.5000 0.5000
0.6250 0.3750 0.2500
0.6250 0.7500 0.3750
0.7500 0.3750 0.6250
0.7500 0.8750 0.1250
0.8750 0.1250 0.7500
0.8750 0.2500 0.1250
0.0557 0.2237 0.1397
0.0557 0.3320 0.9160
0.0840 0.6397 0.4160
0.0840 0.7237 0.6680
0.0840 0.8603 0.4160
0.0840 0.9443 0.6680
0.1397 0.0557 0.2237
0.1397 0.5840 0.9160
0.1680 0.2237 0.5840
0.1680 0.4443 0.5840
0.2237 0.1397 0.0557
0.2237 0.5840 0.1680
0.2763 0.3320 0.9160
0.2763 0.4443 0.3603
0.3320 0.9160 0.0557
0.3320 0.9160 0.2763
0.3603 0.2763 0.4443
0.3603 0.5840 0.9160
0.4160 0.0840 0.6397
0.4160 0.0840 0.8603
0.4160 0.8320 0.5557
0.4160 0.8320 0.7763
0.4443 0.3603 0.2763
0.4443 0.5840 0.1680
0.5557 0.4160 0.8320
0.5557 0.6397 0.7237
0.5840 0.1680 0.2237
0.5840 0.1680 0.4443
0.5840 0.9160 0.1397
0.5840 0.9160 0.3603
0.6397 0.4160 0.0840
0.6397 0.7237 0.5557
0.6680 0.0840 0.7237
0.6680 0.0840 0.9443
0.7237 0.5557 0.6397
0.7237 0.6680 0.0840
0.7763 0.4160 0.8320
0.7763 0.8603 0.9443
0.8320 0.5557 0.4160
0.8320 0.7763 0.4160
0.8603 0.4160 0.0840
0.8603 0.9443 0.7763
0.9160 0.0557 0.3320
0.9160 0.1397 0.5840
0.9160 0.2763 0.3320
0.9160 0.3603 0.5840
0.9443 0.6680 0.0840
0.9443 0.7763 0.8603

[2]
LiTl2 | Alexandria | GGA-PBE | optimized geometry; formation energy = -0.07 eV/atom; energy above the most stable polymorph in this dataset = 0.062 eV per atom
1.0
5.0229 0.0000 0.0000
-2.5114 4.3500 0.0000
0.0000 0.0000 3.5382
Li Tl
1 2
Direct
0.0000 0.0000 0.0000
0.3333 0.6667 0.2826
0.6667 0.3333 0.7174

[3]
BaY2Te | Alexandria | GGA-PBE | optimized geometry; raw formation energy = -419.4 meV/atom
1.0
3.8869 0.0000 0.0000
0.0000 3.8869 0.0000
0.0000 0.0000 9.5096
Ba Y Te
1 2 1
Direct
0.0000 0.0000 0.0000
0.5000 0.5000 0.3184
0.5000 0.5000 0.6816
0.0000 0.0000 0.5000

[4]
V4Si4W | Alexandria | GGA-PBE | optimized geometry; raw formation energy = -58.1 meV/atom
1.0
7.3058 0.0000 0.0000
0.0000 7.3058 0.0000
0.0000 0.0000 4.6889
V Si W
8 8 2
Direct
0.0874 0.8044 0.1248
0.1956 0.5874 0.6248
0.3044 0.9126 0.6248
0.4126 0.6956 0.1248
0.5874 0.3044 0.8752
0.6956 0.0874 0.3752
0.8044 0.4126 0.3752
0.9126 0.1956 0.8752
0.0443 0.1327 0.3562
0.1327 0.4557 0.1438
0.3673 0.0443 0.1438
0.4557 0.3673 0.3562
0.5443 0.6327 0.6438
0.6327 0.9557 0.8562
0.8673 0.5443 0.8562
0.9557 0.8673 0.6438
0.2500 0.2500 0.7500
0.7500 0.7500 0.2500

[5]
MnZnAs2 | Alexandria | GGA-PBE | optimized geometry; formation energy = 0.08 eV/atom
1.0
3.4125 0.0000 0.0000
0.0000 3.4226 0.0000
-0.0155 0.0000 5.6002
Mn Zn As
1 1 2
Direct
0.0000 0.0000 0.0000
0.0000 0.0000 0.5000
0.5004 0.5000 0.2283
0.4996 0.5000 0.7717

[6]
Ac2IrPd | Alexandria | GGA-PBE | optimized geometry; formation energy = -0.63 eV/atom; energy above the most stable polymorph in this dataset = 0.116 eV per atom
1.0
2.1603 1.2473 7.4158
-2.1603 1.2473 7.4158
0.0000 -2.4945 7.4158
Ac Ir Pd
2 1 1
Direct
0.0000 0.0000 0.0000
0.1819 0.1819 0.1819
0.5903 0.5903 0.5903
0.4266 0.4266 0.4266

[7]
Ac8Pd3PtBr4 | Alexandria | GGA-PBE | optimized geometry; raw formation energy = -1155.9 meV/atom
1.0
7.7214 -4.4587 0.0000
7.7214 4.4587 0.0000
-5.1576 0.0000 8.2527
Ac Pd Pt Br
8 3 1 4
Direct
0.2312 0.2312 0.6968
0.2312 0.7349 0.6967
0.2651 0.7688 0.3033
0.2675 0.2675 0.3029
0.7325 0.7325 0.6971
0.7349 0.2312 0.6967
0.7688 0.2651 0.3033
0.7688 0.7688 0.3032
0.0000 0.5000 0.5000
0.5000 0.0000 0.5000
0.5000 0.5000 0.5000
0.0000 0.0000 0.5000
0.0000 0.0000 0.0000
0.0000 0.5000 0.0000
0.5000 0.0000 0.0000
0.5000 0.5000 0.0000

[8]
MnGaSe | Alexandria | GGA-PBE | optimized geometry; raw formation energy = -42.2 meV/atom; energy above the most stable polymorph in this dataset = 0.067 eV per atom
1.0
2.9421 0.0000 0.0000
0.0000 2.9421 0.0000
0.0000 0.0000 5.5274
Mn Ga Se
1 1 1
Direct
0.0000 0.0000 0.0000
0.5000 0.5000 0.7125
0.5000 0.5000 0.2353

Values for magnetic moment, Bohr magnetons per cell, ordered as above
0.0 0.0 1.2 0.0 2.7 0.0 0.0 0.0